This record from the Alexandria database describes a geometry-optimized SmTmGa2Pt2 structure. The functional is PBE-GGA.

Cell and atoms, written as POSCAR:
```
SmTmGa2Pt2
1.0
4.471 0.000 0.000
-2.235 3.872 0.000
0.000 0.000 6.999
Sm Tm Ga Pt
1 1 2 2
direct
0.000 0.000 0.000
0.000 0.000 0.500
0.333 0.667 0.271
0.667 0.333 0.729
0.333 0.667 0.728
0.667 0.333 0.272
```

Computed properties:
* theoretical density: 11.63 g/cm3
* SG: P-3m1 (164)
* M_tot: 0.00 μB/f.u.
* ΔH_f (0 K): -6.4 eV per formula unit

This record from the Alexandria database describes a geometry-optimized SmYGaPt structure. The functional is PBE-GGA.

Cell and atoms, written as POSCAR:
```
SmYGaPt
1.0
4.440 0.000 0.000
0.000 1.929 5.536
0.000 -1.929 5.536
Sm Y Ga Pt
1 1 1 1
direct
0.000 0.000 0.000
0.500 0.284 0.284
0.500 0.570 0.570
0.000 0.722 0.722
```

Computed properties:
* excess energy over the best structure of this formula in the dataset: 0 meV/atom
* theoretical density: 8.83 g/cm3
* SG: Amm2 (38)
* M_tot: 0.00 μB/f.u.
* ΔH_f (0 K): -3.6 eV per formula unit

This record from the Alexandria database describes a geometry-optimized SmYGaPt structure. The functional is PBE-GGA.

Cell and atoms, written as POSCAR:
```
SmYGaPt
1.0
0.000 3.583 3.583
3.583 0.000 3.583
3.583 3.583 0.000
Sm Y Ga Pt
1 1 1 1
direct
0.000 0.000 0.000
0.500 0.500 0.500
0.750 0.750 0.750
0.250 0.250 0.250
```

Computed properties:
* excess energy over the best structure of this formula in the dataset: 85 meV/atom
* theoretical density: 9.09 g/cm3
* SG: F-43m (216)
* M_tot: 0.00 μB/f.u.
* ΔH_f (0 K): -3.3 eV per formula unit

This record from the Alexandria database describes a geometry-optimized SmY2Ga2Pt7 structure. The functional is PBE-GGA.

Cell and atoms, written as POSCAR:
```
SmY2Ga2Pt7
1.0
2.897 -2.864 0.000
2.897 2.864 0.000
-2.384 0.000 13.959
Sm Y Ga Pt
1 2 2 7
direct
0.000 0.000 0.000
0.132 0.132 0.358
0.868 0.868 0.642
0.393 0.393 0.739
0.607 0.607 0.261
0.065 0.565 0.158
0.351 0.351 0.564
0.435 0.935 0.842
0.500 0.500 0.000
0.565 0.065 0.158
0.649 0.649 0.436
0.935 0.435 0.842
```

Computed properties:
* theoretical density: 13.14 g/cm3
* SG: C2/m (12)
* M_tot: 0.00 μB/f.u.
* ΔH_f (0 K): -11.4 eV per formula unit

This record from the Alexandria database describes a geometry-optimized SmZn2GaPt structure. The functional is PBE-GGA.

Cell and atoms, written as POSCAR:
```
SmZn2GaPt
1.0
-1.983 2.153 5.489
1.983 -2.153 5.489
1.983 2.153 -5.489
Sm Zn Ga Pt
1 2 1 1
direct
0.000 0.000 0.000
0.612 0.612 0.000
0.756 0.256 0.500
0.386 0.386 0.000
0.242 0.742 0.500
```

Computed properties:
* theoretical density: 9.67 g/cm3
* SG: Imm2 (44)
* M_tot: 0.00 μB/f.u.
* ΔH_f (0 K): -3.0 eV per formula unit

This record from the Alexandria database describes a geometry-optimized Sm2ZnGa4Pt3 structure. The functional is PBE-GGA.

Cell and atoms, written as POSCAR:
```
Sm2ZnGa4Pt3
1.0
4.236 0.000 0.000
0.000 4.236 0.000
0.000 0.000 10.690
Sm Zn Ga Pt
2 1 4 3
direct
0.000 0.500 0.246
0.500 0.000 0.754
0.000 0.000 0.500
0.000 0.000 0.000
0.000 0.500 0.634
0.500 0.000 0.366
0.500 0.500 0.000
0.000 0.500 0.866
0.500 0.000 0.134
0.500 0.500 0.500
```

Computed properties:
* theoretical density: 10.65 g/cm3
* SG: P-4m2 (115)
* M_tot: 0.00 μB/f.u.
* ΔH_f (0 K): -8.6 eV per formula unit